Record 1
Ho2ThPt2 | GGA-PBE | relaxed

Unit cell a=13.807 b=13.807 c=4.675 alpha=90.00 beta=90.00 gamma=164.00
Fractional positions:
Ho  0.050  0.950  0.750
Ho  0.264  0.736  0.250
Ho  0.736  0.264  0.750
Ho  0.950  0.050  0.250
Th  0.363  0.637  0.750
Th  0.637  0.363  0.250
Pt  0.158  0.842  0.750
Pt  0.466  0.534  0.750
Pt  0.534  0.466  0.250
Pt  0.842  0.158  0.250

Calculated values
- DOS(E_F) (states/eV per cell) = 6.55
- total DFT energy (no corrections) (eV/atom) = -6.7433
- mass density (g cm⁻³) = 12.87
- ΔH_f (0 K) (eV per atom) = -1.012
- symmetry = Cmcm (63)

Record 2
SmTm4Bi2 | GGA-PBE | relaxed

Unit cell a=9.096 b=9.096 c=9.096 alpha=145.92 beta=145.92 gamma=48.97
Fractional positions:
Sm  0.000  0.000  0.000
Tm  0.000  0.500  0.500
Tm  0.181  0.181  0.000
Tm  0.500  0.000  0.500
Tm  0.819  0.819  0.000
Bi  0.365  0.365  0.000
Bi  0.635  0.635  0.000

Calculated values
- DOS(E_F) (states/eV per cell) = 7.50
- total DFT energy (no corrections) (eV/atom) = -3.9408
- mass density (g cm⁻³) = 8.78
- ΔH_f (0 K) (eV per atom) = 0.397
- symmetry = I4/mmm (139)

The lowest DOS(E_F) belongs to which entry?
Ho2ThPt2

Which formula does entry 1 have?
Ho2ThPt2

ΔH_f (0 K) of number 1 (Ho2ThPt2)?
-1.012 eV per atom